Compound: PmBiAu6
Source: the Alexandria database
Functional: PBE
Structure: relaxed

Structure (extended XYZ):
```
8
Lattice="4.7792 0.0000 0.0000 0.0000 5.8295 0.0000 0.0000 0.0000 6.2260" Properties=species:S:1:pos:R:3 pbc="T T T"
Pm 0.0000 0.0000 0.0000
Bi 2.3896 2.9148 1.2492
Au 0.0000 1.4635 2.8738
Au 0.0000 2.9148 5.4159
Au 0.0000 4.3660 2.8738
Au 2.3896 0.0000 2.1217
Au 2.3896 1.4353 4.6810
Au 2.3896 4.3942 4.6810
```

Output
Symmetry   No. 25
N(E_F)   0.47 states/eV/atom
Magnetic moment   0.0 μB per formula unit
Formation energy   -0.31 eV/atom
Electronic total energy   -30.814 eV for the cell shown
ΔE to the lowest computed polymorph   0.0 meV/atom